A plane-wave DFT calculation with PBE was carried out for a relaxed Sm8Hg2Ru crystal.

Cell: 8.8572 8.8572 8.8572 Å, 147.24 121.32 68.85°
Closest atoms and distances in Å follow each position.
Positions (direct):
Sm (0.1154, 0.3463, 0.7691)  3 Hg 3.16-3.28, 1 Ru 3.24, 4 Sm 3.41-3.46
Sm (0.1181, 0.1181, 0.0000)  2 Ru 3.04, 2 Sm 3.37
Sm (0.3340, 0.0000, 0.3340)  1 Sm 2.88
Sm (0.4229, 0.6537, 0.7691)  3 Hg 3.16-3.28, 1 Ru 3.24, 4 Sm 3.41-3.46
Sm (0.5771, 0.3463, 0.2309)  3 Hg 3.16-3.28, 1 Ru 3.24, 4 Sm 3.41-3.46
Sm (0.6660, 0.0000, 0.6660)  1 Sm 2.88
Sm (0.8819, 0.8819, 0.0000)  2 Ru 3.04, 2 Sm 3.37
Sm (0.8846, 0.6537, 0.2309)  3 Hg 3.16-3.28, 1 Ru 3.24, 4 Sm 3.41-3.46
Hg (0.2990, 0.7990, 0.5000)  8 Sm 3.16-3.28
Hg (0.7010, 0.2010, 0.5000)  8 Sm 3.16-3.28
Ru (0.0000, 0.5000, 0.5000)  8 Sm 3.04-3.24

Summary:
Its energy above the lowest structure with this stoichiometry is 0.111 eV/atom. The space-group type is Immm, No. 71. The energy of formation from the pure elements comes out at -11 kJ per mole of atoms. For the total magnetization, the calculation gives 0.00 Bohr magnetons per cell.